(1)
LiSm2Ir after structural relaxation. Source: the Alexandria database, functional PBE-GGA.

Properties
ΔH_f (0 K)   -365 meV per atom
V   89.9 Å³/f.u.
Total moment   0.00 μB per formula unit

Unit cell a=3.697 b=4.933 c=4.933 alpha=90.00 beta=90.00 gamma=90.00
Element x y z (fractional)
Ir: 0.500 0.000 0.000
Sm: 0.000 0.000 0.500
Sm: 0.000 0.500 0.000
Li: 0.500 0.500 0.500

(2)
SmY2Sc3Se6 after structural relaxation. Source: the Alexandria database, functional PBE-GGA.

Properties
Formation energy from raw total energies   -1681 meV per atom
V   270.8 Å³/f.u.
Total moment   0.00 μB per formula unit

Unit cell a=6.907 b=6.907 c=6.960 alpha=99.47 beta=99.47 gamma=120.23
Element x y z (fractional)
Se: 0.250 0.250 0.733
Se: 0.429 0.090 0.270
Se: 0.090 0.429 0.270
Se: 0.750 0.750 0.267
Se: 0.910 0.571 0.730
Se: 0.571 0.910 0.730
Sc: 0.838 0.162 0.500
Sc: 0.500 0.500 0.500
Sc: 0.162 0.838 0.500
Y: 0.666 0.334 0.000
Y: 0.334 0.666 0.000
Sm: 0.000 0.000 0.000

(3)
Pr2ZnSb after structural relaxation. Source: the Alexandria database, functional PBE-GGA.

Properties
Formation energy from raw total energies   -573 meV per atom
V   119.9 Å³/f.u.
Total moment   0.00 μB per formula unit

Unit cell a=4.921 b=4.921 c=6.382 alpha=67.32 beta=67.32 gamma=60.00
Element x y z (fractional)
Pr: 0.753 0.753 0.742
Pr: 0.247 0.247 0.258
Zn: 0.500 0.500 0.500
Sb: 0.000 0.000 0.000

(4)
Pr6Y2Ho3 after structural relaxation. Source: the Alexandria database, functional PBE-GGA.

Properties
ΔH_f (0 K)   17 meV per atom
V   374.2 Å³/f.u.
Total moment   0.00 μB per formula unit

Unit cell a=6.299 b=8.151 c=14.976 alpha=49.34 beta=60.66 gamma=97.39
Element x y z (fractional)
Pr: 0.729 0.091 0.818
Pr: 0.271 0.909 0.182
Pr: 0.182 0.277 0.454
Pr: 0.818 0.723 0.546
Pr: 0.907 0.363 0.272
Pr: 0.093 0.637 0.728
Ho: 0.549 0.821 0.361
Ho: 0.451 0.179 0.639
Ho: 0.000 0.000 0.000
Y: 0.360 0.542 0.911
Y: 0.640 0.458 0.089

(5)
Tb2MnAu after structural relaxation. Source: the Alexandria database, functional PBE-GGA.

Properties
ΔH_f (0 K)   -321 meV per atom
V   92.4 Å³/f.u.
Total moment   3.44 μB per formula unit

Unit cell a=3.595 b=3.595 c=7.149 alpha=90.00 beta=90.00 gamma=90.00
Element x y z (fractional)
Au: 0.500 0.500 0.500
Tb: 0.000 0.000 0.754
Tb: 0.000 0.000 0.246
Mn: 0.500 0.500 0.000

(6)
LaSmHo2Tm after structural relaxation. Source: the Alexandria database, functional PBE-GGA.

Properties
ΔH_f (0 K)   240 meV per atom
V   173.5 Å³/f.u.
Total moment   0.00 μB per formula unit

Unit cell a=5.586 b=8.592 c=7.229 alpha=90.03 beta=90.00 gamma=90.00
Element x y z (fractional)
La: 0.000 0.000 0.500
La: 0.000 0.000 0.000
Sm: 0.000 0.500 0.250
Sm: 0.000 0.500 0.750
Ho: 0.500 0.682 0.500
Ho: 0.500 0.318 0.000
Ho: 0.500 0.318 0.500
Ho: 0.500 0.682 0.000
Tm: 0.500 0.000 0.750
Tm: 0.500 0.000 0.250

(7)
TaCo2Os2 after structural relaxation. Source: the Alexandria database, functional PBE-GGA.

Properties
ΔH_f (0 K)   163 meV per atom
V   69.5 Å³/f.u.
Total moment   1.84 μB per formula unit

Unit cell a=7.164 b=7.164 c=2.709 alpha=90.00 beta=90.00 gamma=90.00
Element x y z (fractional)
Ta: 0.000 0.000 0.000
Ta: 0.500 0.500 0.000
Co: 0.170 0.670 0.500
Co: 0.330 0.170 0.500
Co: 0.830 0.330 0.500
Co: 0.670 0.830 0.500
Os: 0.127 0.373 0.000
Os: 0.627 0.127 0.000
Os: 0.873 0.627 0.000
Os: 0.373 0.873 0.000

(8)
KLa2FeRu after structural relaxation. Source: the Alexandria database, functional PBE-GGA.

Properties
ΔH_f (0 K)   423 meV per atom
V   138.9 Å³/f.u.
Total moment   0.00 μB per formula unit

Unit cell a=5.522 b=4.556 c=5.522 alpha=90.00 beta=90.00 gamma=90.00
Element x y z (fractional)
La: 0.500 0.000 0.000
La: 0.000 0.000 0.500
K: 0.500 0.500 0.500
Ru: 0.000 0.500 0.000
Fe: 0.000 0.000 0.000

(9)
TaZn2Se after structural relaxation. Source: the Alexandria database, functional PBE-GGA.

Properties
Formation energy from raw total energies   -61 meV per atom
V   68.7 Å³/f.u.
Total moment   0.00 μB per formula unit

Unit cell a=4.951 b=4.951 c=5.009 alpha=67.19 beta=67.19 gamma=37.85
Element x y z (fractional)
Zn: 0.009 0.009 0.069
Zn: 0.257 0.257 0.174
Se: 0.476 0.476 0.621
Ta: 0.758 0.758 0.637

(10)
Pr2SnSb3Pt4 after structural relaxation. Source: the Alexandria database, functional PBE-GGA.

Properties
Formation energy from raw total energies   -847 meV per atom
V   229.8 Å³/f.u.
Total moment   0.00 μB per formula unit

Unit cell a=4.592 b=4.592 c=10.899 alpha=90.00 beta=90.00 gamma=90.00
Element x y z (fractional)
Sb: 0.000 0.000 0.500
Sb: 0.500 0.000 0.870
Sb: 0.000 0.500 0.130
Sn: 0.500 0.500 0.500
Pr: 0.000 0.500 0.768
Pr: 0.500 0.000 0.232
Pt: 0.500 0.500 0.000
Pt: 0.000 0.500 0.368
Pt: 0.500 0.000 0.632
Pt: 0.000 0.000 0.000

(11)
MnAlTcPd after structural relaxation. Source: the Alexandria database, functional PBE-GGA.

Properties
ΔH_f (0 K)   -331 meV per atom
V   56.2 Å³/f.u.
Total moment   2.94 μB per formula unit

Unit cell a=4.301 b=4.301 c=4.301 alpha=60.00 beta=60.00 gamma=60.00
Element x y z (fractional)
Al: 0.250 0.250 0.250
Pd: 0.500 0.500 0.500
Tc: 0.000 0.000 0.000
Mn: 0.750 0.750 0.750

(12)
KHF2 after structural relaxation. Source: the Alexandria database, functional PBE-GGA.

Properties
Final energy   -0.1593 hartree per atom
V   61.3 Å³/f.u.
Total moment   0.00 μB per formula unit

Unit cell a=4.499 b=6.862 c=5.803 alpha=110.08 beta=90.55 gamma=129.74
Element x y z (fractional)
K: 0.881 0.631 0.763
K: 0.119 0.369 0.237
F: 0.915 0.670 0.275
F: 0.360 0.105 0.275
F: 0.085 0.330 0.725
F: 0.640 0.895 0.725
H: 0.145 0.895 0.290
H: 0.855 0.105 0.710